FeRuSe2: optimized geometry, GGA-PBE.

a b c (Å): 4.410 4.410 4.410
angles (deg): 60.00 60.00 60.00
Site moments in Bohr magnetons follow the coordinates.
Positions (direct):
Ru 0.500 0.500 0.500  0.13
Fe 0.000 0.000 0.000  2.70
Se 0.250 0.250 0.250  0.00
Se 0.750 0.750 0.750  0.00

Properties
raw formation energy: 0.75 eV per formula unit
relative energy among the computed polymorphs: 412 meV per atom
magnetic moment: 2.83 μB/cell
space group: Fm-3m
total DFT energy (no corrections): -0.4402 Ry per atom